# AcPmGeAs (PBE, relaxed)
data_AcPmGeAs
_symmetry_space_group_name_H-M 'F -4 3 m'
_symmetry_Int_Tables_number 216
_symmetry_space_group_name_Hall 'F -4 2 3'
_cell_length_a 7.575
_cell_length_b 7.575
_cell_length_c 7.575
_cell_angle_alpha 90.00
_cell_angle_beta 90.00
_cell_angle_gamma 90.00
loop_
_atom_site_label
_atom_site_fract_x
_atom_site_fract_y
_atom_site_fract_z
Ac1 0.000 0.000 0.000
Pm1 0.000 0.000 0.500
Ge1 0.250 0.250 0.250
As1 0.250 0.250 0.750
# * total magnetic moment: 0.0 μB per cell
# * E: -5.2854 eV per atom
# * DOS(E_F): 0.965 states/eV/atom
# * ΔH_f (0 K): -72.7 kJ per mole of atoms

# Ac2Ge3AsPt4 (PBE, relaxed)
data_Ac2Ge3AsPt4
_symmetry_space_group_name_H-M 'P -4 m 2'
_symmetry_Int_Tables_number 115
_cell_length_a 4.560
_cell_length_b 4.560
_cell_length_c 9.998
_cell_angle_alpha 90.00
_cell_angle_beta 90.00
_cell_angle_gamma 90.00
loop_
_symmetry_equiv_pos_as_xyz
'x,y,z'
'y,-x,-z'
'-x,-y,z'
'-y,x,-z'
'-x,y,z'
'-y,-x,-z'
'x,-y,z'
'y,x,-z'
loop_
_atom_site_label
_atom_site_fract_x
_atom_site_fract_y
_atom_site_fract_z
Ac1 0.000 0.500 0.248
Ge1 0.000 0.000 0.000
Ge2 0.000 0.500 0.624
As1 0.500 0.500 0.000
Pt1 0.000 0.000 0.500
Pt2 0.000 0.500 0.878
Pt3 0.500 0.500 0.500
# * total magnetic moment: 0.0 μB per cell
# * E: -6.0265 eV per atom
# * DOS(E_F): 0.763 states/eV/atom
# * ΔH_f (0 K): -90.5 kJ per mole of atoms

# Ac3GeAs2Pt9 (PBE, relaxed)
data_Ac3GeAs2Pt9
_symmetry_space_group_name_H-M 'P -3 m 1'
_symmetry_Int_Tables_number 164
_symmetry_space_group_name_Hall '-P 3 2"'
_cell_length_a 6.6646
_cell_length_b 6.6646
_cell_length_c 8.8347
_cell_angle_alpha 90.00
_cell_angle_beta 90.00
_cell_angle_gamma 120.00
loop_
_atom_site_label
_atom_site_fract_x
_atom_site_fract_y
_atom_site_fract_z
Ac1 0.0000 0.0000 0.0000
Ac2 0.3333 0.6667 0.6827
Ge1 0.0000 0.0000 0.5000
As1 0.3333 0.6667 0.1853
Pt1 0.0000 0.5000 0.0000
Pt2 0.1436 0.2872 0.2940
# * total magnetic moment: 0.0 μB per cell
# * E: -6.0462 eV per atom
# * DOS(E_F): 0.458 states/eV/atom
# * ΔH_f (0 K): -64.9 kJ per mole of atoms

# Ac2GeAsRh6 (PBE, relaxed)
data_Ac2GeAsRh6
_symmetry_space_group_name_H-M 'F m -3 m'
_symmetry_Int_Tables_number 225
_symmetry_space_group_name_Hall '-F 4 2 3'
_cell_length_a 9.368
_cell_length_b 9.368
_cell_length_c 9.368
_cell_angle_alpha 90.00
_cell_angle_beta 90.00
_cell_angle_gamma 90.00
loop_
_atom_site_label
_atom_site_fract_x
_atom_site_fract_y
_atom_site_fract_z
Ac1 0.250 0.250 0.250
Ge1 0.000 0.000 0.000
As1 0.000 0.000 0.500
Rh1 0.000 0.000 0.251
# * total magnetic moment: 0.0 μB per cell
# * E: -6.6061 eV per atom
# * DOS(E_F): 0.516 states/eV/atom
# * ΔH_f (0 K): -43.1 kJ per mole of atoms

# Ac2Ge3AsRh4 (PBE, relaxed)
data_Ac2Ge3AsRh4
_symmetry_space_group_name_H-M 'P -4 m 2'
_symmetry_Int_Tables_number 115
_cell_length_a 4.375
_cell_length_b 4.375
_cell_length_c 10.317
_cell_angle_alpha 90.00
_cell_angle_beta 90.00
_cell_angle_gamma 90.00
loop_
_symmetry_equiv_pos_as_xyz
'x,y,z'
'y,-x,-z'
'-x,-y,z'
'-y,x,-z'
'-x,y,z'
'-y,-x,-z'
'x,-y,z'
'y,x,-z'
loop_
_atom_site_label
_atom_site_fract_x
_atom_site_fract_y
_atom_site_fract_z
Ac1 0.000 0.500 0.243
Ge1 0.000 0.000 0.000
Ge2 0.000 0.500 0.626
As1 0.500 0.500 0.000
Rh1 0.000 0.000 0.500
Rh2 0.000 0.500 0.874
Rh3 0.500 0.500 0.500
# * total magnetic moment: 0.0 μB per cell
# * E: -6.4846 eV per atom
# * DOS(E_F): 0.404 states/eV/atom
# * ΔH_f (0 K): -84.2 kJ per mole of atoms

# AcGeAsRh3 (PBE, relaxed)
data_AcGeAsRh3
_symmetry_space_group_name_H-M 'C m c m'
_symmetry_Int_Tables_number 63
_symmetry_space_group_name_Hall '-C 2c 2'
_cell_length_a 5.836
_cell_length_b 14.972
_cell_length_c 5.847
_cell_angle_alpha 90.00
_cell_angle_beta 90.00
_cell_angle_gamma 90.00
loop_
_atom_site_label
_atom_site_fract_x
_atom_site_fract_y
_atom_site_fract_z
Ac1 0.000 0.221 0.250
Ge1 0.000 0.090 0.750
As1 0.000 0.413 0.750
Rh1 0.000 0.252 0.750
Rh2 0.250 0.000 0.000
# * total magnetic moment: 0.0 μB per cell
# * E: -6.6277 eV per atom
# * DOS(E_F): 0.376 states/eV/atom
# * ΔH_f (0 K): -69.7 kJ per mole of atoms

# Ac3GeAs2Rh9 (PBE, relaxed)
data_Ac3GeAs2Rh9
_symmetry_space_group_name_H-M 'P -3 m 1'
_symmetry_Int_Tables_number 164
_symmetry_space_group_name_Hall '-P 3 2"'
_cell_length_a 6.3761
_cell_length_b 6.3761
_cell_length_c 8.8916
_cell_angle_alpha 90.00
_cell_angle_beta 90.00
_cell_angle_gamma 120.00
loop_
_atom_site_label
_atom_site_fract_x
_atom_site_fract_y
_atom_site_fract_z
Ac1 0.0000 0.0000 0.0000
Ac2 0.3333 0.6667 0.6689
Ge1 0.0000 0.0000 0.5000
As1 0.3333 0.6667 0.1736
Rh1 0.0000 0.5000 0.0000
Rh2 0.1449 0.2897 0.2893
# * total magnetic moment: 0.0 μB per cell
# * E: -6.6728 eV per atom
# * DOS(E_F): 0.311 states/eV/atom
# * ΔH_f (0 K): -49.4 kJ per mole of atoms

# Ac4GeAsS2 (PBE, relaxed)
data_Ac4GeAsS2
_symmetry_space_group_name_H-M 'P 1 2/m 1'
_symmetry_Int_Tables_number 10
_cell_length_a 7.659
_cell_length_b 4.491
_cell_length_c 7.773
_cell_angle_alpha 90.00
_cell_angle_beta 109.80
_cell_angle_gamma 90.00
loop_
_symmetry_equiv_pos_as_xyz
'x,y,z'
'-x,-y,-z'
'-x,y,-z'
'x,-y,z'
loop_
_atom_site_label
_atom_site_fract_x
_atom_site_fract_y
_atom_site_fract_z
Ac1 0.249 0.000 0.248
Ac2 0.249 0.500 0.752
Ge1 0.000 0.500 0.000
As1 0.000 0.000 0.500
S1 0.500 0.000 0.000
S2 0.500 0.500 0.500
# * total magnetic moment: 0.0 μB per cell
# * E: -5.8426 eV per atom
# * DOS(E_F): 0.249 states/eV/atom